Cs2Mg2SnTe4 | PBE | relaxed

a b c (Å): 9.037 9.037 9.071
angles (deg): 107.74 107.74 30.19
Element x y z (fractional)
Cs 0.127 0.127 0.043
Cs 0.873 0.873 0.957
Mg 0.329 0.329 0.523
Mg 0.671 0.671 0.477
Sn 0.000 0.000 0.500
Te 0.202 0.202 0.667
Te 0.481 0.481 0.735
Te 0.519 0.519 0.265
Te 0.798 0.798 0.333

Properties
VASP energy, eV per atom: -3.248
Uncorrected formation energy, eV/atom: -0.862

=====

Y2VCl | PBE | relaxed

a b c (Å): 5.207 5.207 5.207
angles (deg): 60.00 60.00 60.00
Element x y z (fractional)
Y 0.250 0.250 0.250
Y 0.750 0.750 0.750
V 0.000 0.000 0.000
Cl 0.500 0.500 0.500

Properties
VASP energy, eV per atom: -5.872
N(E_F), states/eV per cell: 4.04
Uncorrected formation energy, eV/atom: 0.102
Energy relative to the lowest polymorph listed for this composition, eV/atom: 0.062

=====

TbPuTlIn | PBE | relaxed

a b c (Å): 5.384 5.384 5.384
angles (deg): 60.00 60.00 60.00
Element x y z (fractional)
Tb 0.000 0.000 0.000
Pu 0.500 0.500 0.500
Tl 0.250 0.250 0.250
In 0.750 0.750 0.750

Properties
VASP energy, eV per atom: -6.223
E_form, meV/atom: -206
N(E_F), states/eV per cell: 9.95

=====

Question: What is the formula in the third record?
Answer: TbPuTlIn

=====

Question: Number 2 is which compound?
Answer: Y2VCl